{"formula": "RbLiTaTi2", "functional": "GGA-PBE", "state": "relaxed", "cell": [[4.8760, 0.0000, 0.0000], [0.0000, 5.9608, 0.0000], [0.0000, 0.0000, 4.8760]], "species": ["Ti", "Ti", "Li", "Rb", "Ta"], "fractional_positions": [[0.0000, 0.0000, 0.5000], [0.5000, 0.0000, 0.0000], [0.0000, 0.5000, 0.0000], [0.5000, 0.5000, 0.5000], [0.0000, 0.0000, 0.0000]], "sg": "P4/mmm, No. 123", "magnetic_moment_mub_per_fu": 0.00, "delta_e_f_kj_per_mol_fu": 513, "e_tot_ev_per_cell": -25.2}